No. 1
BeVOsPt2 | GGA-PBE | optimized geometry

Results
The energy of formation from the pure elements comes out at 1420 meV per atom. The value obtained for the final energy is -5.811 eV/atom.

abc: 4.8887 4.8887 4.4313
angles: 90.00 90.00 90.00
Space group P4/mmm (No. 123)
One atom of each set of equivalent atoms:
Be (0.0000, 0.0000, 0.0000) [1 per cell]
V (0.5000, 0.5000, 0.0000) [1 per cell]
Os (0.5000, 0.5000, 0.5000) [1 per cell]
Pt (0.0000, 0.5000, 0.5000) [2 per cell]



No. 2
Pu2Be4Si3Os | GGA-PBE | optimized geometry

Results
As for the uncorrected formation energy: -0.298 eV/atom. The value obtained for the final energy is -7.405 eV/atom.

abc: 3.8433 3.8433 9.6958
angles: 90.00 90.00 90.00
Space group P-4m2 (No. 115)
One atom of each set of equivalent atoms:
Pu (0.0000, 0.5000, 0.2498) [2 per cell]
Be (0.0000, 0.0000, 0.0000) [1 per cell]
Be (0.0000, 0.5000, 0.6335) [2 per cell]
Be (0.5000, 0.5000, 0.0000) [1 per cell]
Si (0.0000, 0.5000, 0.8687) [2 per cell]
Si (0.5000, 0.5000, 0.5000) [1 per cell]
Os (0.0000, 0.0000, 0.5000) [1 per cell]



No. 3
PuUBeOs | GGA-PBE | optimized geometry

Results
The energy of formation from the pure elements comes out at -2 meV per atom. The value obtained for the final energy is -10.146 eV/atom.

abc: 6.4779 6.4779 6.4779
angles: 90.00 90.00 90.00
Space group F-43m (No. 216)
One atom of each set of equivalent atoms:
Pu (0.0000, 0.0000, 0.0000) [4 per cell]
U (0.2500, 0.2500, 0.7500) [4 per cell]
Be (0.2500, 0.2500, 0.2500) [4 per cell]
Os (0.0000, 0.0000, 0.5000) [4 per cell]



No. 4
RbBe2Os | GGA-PBE | optimized geometry

Results
The energy of formation from the pure elements comes out at 1640 meV per atom. The energy above the lowest structure with this stoichiometry comes out at 689 meV/atom. The value obtained for the final energy is -3.272 eV/atom.

abc: 6.4312 6.4312 6.4312
angles: 90.00 90.00 90.00
Space group Fm-3m (No. 225)
One atom of each set of equivalent atoms:
Rb (0.0000, 0.0000, 0.0000) [4 per cell]
Be (0.2500, 0.2500, 0.2500) [8 per cell]
Os (0.0000, 0.0000, 0.5000) [4 per cell]



No. 5
RbBe2Os | GGA-PBE | optimized geometry

Results
The energy of formation from the pure elements comes out at 951 meV per atom. The energy above the lowest structure with this stoichiometry comes out at 0 meV/atom. The value obtained for the final energy is -3.961 eV/atom.

abc: 6.0345 6.0345 12.0504
angles: 90.00 90.00 90.00
Space group I4_1/amd (No. 141, origin choice 2)
One atom of each set of equivalent atoms:
Rb (0.0000, 0.2500, 0.3750) [4 per cell]
Be (0.0000, 0.0000, 0.0000) [8 per cell]
Os (0.0000, 0.2500, 0.8750) [4 per cell]



No. 6
RbBeOs2 | GGA-PBE | optimized geometry

Results
The energy of formation from the pure elements comes out at 1419 meV per atom. The value obtained for the final energy is -5.369 eV/atom.

abc: 4.5277 4.5277 16.9475
angles: 90.00 90.00 90.00
Space group I-42d (No. 122)
One atom of each set of equivalent atoms:
Rb (0.0000, 0.0000, 0.0000) [4 per cell]
Be (0.0000, 0.0000, 0.5000) [4 per cell]
Os (0.0988, 0.2500, 0.6250) [8 per cell]



No. 7
RbBe2ReOs | GGA-PBE | optimized geometry

Results
The energy of formation from the pure elements comes out at 1152 meV per atom. The value obtained for the final energy is -5.268 eV/atom.

abc: 4.6535 4.6535 4.7808
angles: 90.00 90.00 90.00
Space group P4/mmm (No. 123)
One atom of each set of equivalent atoms:
Rb (0.0000, 0.0000, 0.0000) [1 per cell]
Be (0.0000, 0.5000, 0.5000) [2 per cell]
Re (0.5000, 0.5000, 0.0000) [1 per cell]
Os (0.5000, 0.5000, 0.5000) [1 per cell]



No. 8
RbScBe2Os | GGA-PBE | optimized geometry

Results
The energy of formation from the pure elements comes out at 2671 meV per atom. The value obtained for the final energy is -2.525 eV/atom.

abc: 4.3723 4.3723 4.8209
angles: 90.00 90.00 90.00
Space group P4/mmm (No. 123)
One atom of each set of equivalent atoms:
Rb (0.0000, 0.0000, 0.0000) [1 per cell]
Sc (0.0000, 0.0000, 0.5000) [1 per cell]
Be (0.0000, 0.5000, 0.0000) [2 per cell]
Os (0.5000, 0.5000, 0.5000) [1 per cell]



No. 9
RbSrBeOs2 | GGA-PBE | optimized geometry

Results
The energy of formation from the pure elements comes out at 1140 meV per atom. The value obtained for the final energy is -4.627 eV/atom.

abc: 4.3784 4.3784 5.4566
angles: 90.00 90.00 90.00
Space group P4/mmm (No. 123)
One atom of each set of equivalent atoms:
Rb (0.0000, 0.0000, 0.0000) [1 per cell]
Sr (0.5000, 0.5000, 0.0000) [1 per cell]
Be (0.0000, 0.0000, 0.5000) [1 per cell]
Os (0.0000, 0.5000, 0.5000) [2 per cell]



No. 10
RbBe2TeOs | GGA-PBE | optimized geometry

Results
As for the uncorrected formation energy: 1.985 eV/atom. The value obtained for the final energy is -2.574 eV/atom.

abc: 4.8497 4.8497 6.4931
angles: 90.00 90.00 90.00
Space group P4/mmm (No. 123)
One atom of each set of equivalent atoms:
Rb (0.0000, 0.0000, 0.0000) [1 per cell]
Be (0.0000, 0.5000, 0.5000) [2 per cell]
Te (0.0000, 0.0000, 0.5000) [1 per cell]
Os (0.5000, 0.5000, 0.0000) [1 per cell]



No. 11
RbZrBeOs2 | GGA-PBE | optimized geometry

Results
The energy of formation from the pure elements comes out at 1246 meV per atom. The value obtained for the final energy is -5.894 eV/atom.

abc: 4.3797 4.3797 4.8434
angles: 90.00 90.00 90.00
Space group P4/mmm (No. 123)
One atom of each set of equivalent atoms:
Rb (0.0000, 0.0000, 0.0000) [1 per cell]
Zr (0.5000, 0.5000, 0.0000) [1 per cell]
Be (0.5000, 0.5000, 0.5000) [1 per cell]
Os (0.0000, 0.5000, 0.5000) [2 per cell]



No. 12
BeRe2Os | GGA-PBE | optimized geometry

Results
The energy of formation from the pure elements comes out at 339 meV per atom. The value obtained for the final energy is -9.624 eV/atom.

abc: 2.8569 4.5265 8.5215
angles: 90.00 90.00 90.00
Space group Cmmm (No. 65)
One atom of each set of equivalent atoms:
Be (0.0000, 0.0000, 0.0000) [2 per cell]
Re (0.0000, 0.5000, 0.2329) [4 per cell]
Os (0.0000, 0.0000, 0.5000) [2 per cell]



No. 13
BeRe4Os2 | GGA-PBE | optimized geometry

Results
The energy of formation from the pure elements comes out at 872 meV per atom. The value obtained for the final energy is -9.982 eV/atom.

abc: 4.0965 4.0965 12.6733
angles: 90.00 90.00 90.00
Space group I4/mmm (No. 139)
One atom of each set of equivalent atoms:
Be (0.0000, 0.0000, 0.0000) [2 per cell]
Re (0.0000, 0.0000, 0.1702) [4 per cell]
Re (0.0000, 0.5000, 0.0000) [4 per cell]
Os (0.0000, 0.0000, 0.3604) [4 per cell]



No. 14
BeRe2Os | GGA-PBE | optimized geometry

Results
The energy of formation from the pure elements comes out at 678 meV per atom. The value obtained for the final energy is -9.285 eV/atom.

abc: 3.7184 3.7184 17.3415
angles: 90.00 90.00 90.00
Space group I-42d (No. 122)
One atom of each set of equivalent atoms:
Be (0.0000, 0.0000, 0.0000) [4 per cell]
Re (0.2085, 0.2500, 0.1250) [8 per cell]
Os (0.0000, 0.0000, 0.5000) [4 per cell]



No. 15
BeRe2Os | GGA-PBE | optimized geometry

Results
The energy of formation from the pure elements comes out at 159 meV per atom. The value obtained for the final energy is -9.804 eV/atom.

abc: 2.7412 2.7412 25.2824
angles: 90.00 90.00 120.00
Space group R-3m (No. 166, hexagonal axes)
One atom of each set of equivalent atoms:
Be (0.0000, 0.0000, 0.0000) [3 per cell]
Re (0.0000, 0.0000, 0.2539) [6 per cell]
Os (0.0000, 0.0000, 0.5000) [3 per cell]



No. 16
BeRe2Os | GGA-PBE | optimized geometry

Results
The energy of formation from the pure elements comes out at 47 meV per atom. The value obtained for the final energy is -9.916 eV/atom.

abc: 2.8611 4.3466 8.4815
angles: 90.00 90.00 90.00
Space group Imm2 (No. 44)
One atom of each set of equivalent atoms:
Be (0.0000, 0.0000, 0.0000) [2 per cell]
Re (0.0000, 0.0000, 0.4945) [2 per cell]
Re (0.0000, 0.5000, 0.2709) [2 per cell]
Os (0.0000, 0.5000, 0.7211) [2 per cell]



No. 17
BeRe2Os | GGA-PBE | optimized geometry

Results
The energy of formation from the pure elements comes out at 249 meV per atom. The value obtained for the final energy is -9.714 eV/atom.

abc: 5.0648 7.9152 2.7606
angles: 90.00 90.00 90.00
Space group Cmmm (No. 65)
One atom of each set of equivalent atoms:
Be (0.0000, 0.0000, 0.0000) [2 per cell]
Re (0.2500, 0.2500, 0.5000) [4 per cell]
Os (0.0000, 0.5000, 0.0000) [2 per cell]



No. 18
BeRe2Os | GGA-PBE | optimized geometry

Results
The energy of formation from the pure elements comes out at -38 meV per atom. The value obtained for the final energy is -10.001 eV/atom.

abc: 2.8208 2.8208 6.5620
angles: 90.00 90.00 90.00
Space group P4mm (No. 99)
One atom of each set of equivalent atoms:
Be (0.0000, 0.0000, 0.0000) [1 per cell]
Re (0.0000, 0.0000, 0.4829) [1 per cell]
Re (0.5000, 0.5000, 0.7703) [1 per cell]
Os (0.5000, 0.5000, 0.2055) [1 per cell]



No. 19
Be3ReOs | GGA-PBE | optimized geometry

Results
The energy of formation from the pure elements comes out at 1487 meV per atom. The energy above the lowest structure with this stoichiometry comes out at 327 meV/atom. The value obtained for the final energy is -5.484 eV/atom.

abc: 4.0540 4.0540 4.0540
angles: 90.00 90.00 90.00
Space group Pm-3m (No. 221)
One atom of each set of equivalent atoms:
Be (0.0000, 0.0000, 0.5000) [3 per cell]
Re (0.0000, 0.0000, 0.0000) [1 per cell]
Os (0.5000, 0.5000, 0.5000) [1 per cell]



No. 20
BeRe2Os | GGA-PBE | optimized geometry

Results
The energy of formation from the pure elements comes out at 355 meV per atom. The value obtained for the final energy is -9.608 eV/atom.

abc: 4.4544 4.4544 2.7865
angles: 90.00 90.00 90.00
Space group P4/mmm (No. 123)
One atom of each set of equivalent atoms:
Be (0.0000, 0.0000, 0.0000) [1 per cell]
Re (0.0000, 0.5000, 0.5000) [2 per cell]
Os (0.5000, 0.5000, 0.0000) [1 per cell]



No. 21
Be4ReOs | GGA-PBE | optimized geometry

Results
The energy of formation from the pure elements comes out at -325 meV per atom. The value obtained for the final energy is -6.756 eV/atom.

abc: 6.1711 6.1711 6.1711
angles: 90.00 90.00 90.00
Space group F-43m (No. 216)
One atom of each set of equivalent atoms:
Be (0.1238, 0.1238, 0.3762) [16 per cell]
Re (0.2500, 0.2500, 0.7500) [4 per cell]
Os (0.0000, 0.0000, 0.0000) [4 per cell]



No. 22
Be3ReOs | GGA-PBE | optimized geometry

Results
The energy of formation from the pure elements comes out at 1160 meV per atom. The energy above the lowest structure with this stoichiometry comes out at 0 meV/atom. The value obtained for the final energy is -5.811 eV/atom.

abc: 4.0531 4.0531 4.0531
angles: 90.00 90.00 90.00
Space group Pm-3m (No. 221)
One atom of each set of equivalent atoms:
Be (0.0000, 0.0000, 0.5000) [3 per cell]
Re (0.5000, 0.5000, 0.5000) [1 per cell]
Os (0.0000, 0.0000, 0.0000) [1 per cell]



No. 23
BeRe2Os | GGA-PBE | optimized geometry

Results
The energy of formation from the pure elements comes out at 119 meV per atom. The value obtained for the final energy is -9.844 eV/atom.

abc: 2.7455 2.7455 25.0210
angles: 90.00 90.00 120.00
Space group R3m (No. 160, hexagonal axes)
One atom of each set of equivalent atoms:
Be (0.0000, 0.0000, 0.0000) [3 per cell]
Re (0.0000, 0.0000, 0.2535) [3 per cell]
Re (0.0000, 0.0000, 0.4986) [3 per cell]
Os (0.0000, 0.0000, 0.7423) [3 per cell]



No. 24
BeReOs3 | GGA-PBE | optimized geometry

Results
The energy of formation from the pure elements comes out at 632 meV per atom. The value obtained for the final energy is -9.341 eV/atom.

abc: 4.0765 4.0765 4.0765
angles: 90.00 90.00 90.00
Space group Pm-3m (No. 221)
One atom of each set of equivalent atoms:
Be (0.0000, 0.0000, 0.0000) [1 per cell]
Re (0.5000, 0.5000, 0.5000) [1 per cell]
Os (0.0000, 0.0000, 0.5000) [3 per cell]



No. 25
BeRe3Os | GGA-PBE | optimized geometry

Results
The energy of formation from the pure elements comes out at 675 meV per atom. The value obtained for the final energy is -9.785 eV/atom.

abc: 4.1056 4.1056 4.1056
angles: 90.00 90.00 90.00
Space group Pm-3m (No. 221)
One atom of each set of equivalent atoms:
Be (0.0000, 0.0000, 0.0000) [1 per cell]
Re (0.0000, 0.0000, 0.5000) [3 per cell]
Os (0.5000, 0.5000, 0.5000) [1 per cell]



No. 26
BeRe2Os | GGA-PBE | optimized geometry

Results
The energy of formation from the pure elements comes out at 139 meV per atom. The value obtained for the final energy is -9.824 eV/atom.

abc: 4.2574 4.2574 6.0335
angles: 90.00 90.00 90.00
Space group I-4m2 (No. 119)
One atom of each set of equivalent atoms:
Be (0.0000, 0.0000, 0.0000) [2 per cell]
Re (0.0000, 0.0000, 0.5000) [2 per cell]
Re (0.0000, 0.5000, 0.2500) [2 per cell]
Os (0.0000, 0.5000, 0.7500) [2 per cell]



No. 27
BeRe2Os | GGA-PBE | optimized geometry

Results
The energy of formation from the pure elements comes out at 283 meV per atom. The value obtained for the final energy is -9.680 eV/atom.

abc: 2.8691 4.5389 8.4135
angles: 90.00 90.00 90.00
Space group Cmm2 (No. 35)
One atom of each set of equivalent atoms:
Be (0.0000, 0.0000, 0.0000) [2 per cell]
Re (0.0000, 0.0000, 0.4962) [2 per cell]
Re (0.0000, 0.5000, 0.7654) [2 per cell]
Os (0.0000, 0.5000, 0.2233) [2 per cell]



No. 28
BeRe2Os | GGA-PBE | optimized geometry

Results
The energy of formation from the pure elements comes out at 24 meV per atom. The value obtained for the final energy is -9.939 eV/atom.

abc: 2.9772 4.2245 8.4658
angles: 90.00 90.00 90.00
Space group Immm (No. 71)
One atom of each set of equivalent atoms:
Be (0.0000, 0.0000, 0.0000) [2 per cell]
Re (0.0000, 0.5000, 0.2647) [4 per cell]
Os (0.0000, 0.0000, 0.5000) [2 per cell]



No. 29
BeRe2Os | GGA-PBE | optimized geometry

Results
The energy of formation from the pure elements comes out at 180 meV per atom. The value obtained for the final energy is -9.783 eV/atom.

abc: 8.6130 2.7400 4.7246
angles: 90.00 97.43 90.00
Space group Cm (No. 8)
One atom of each set of equivalent atoms:
Be (0.0000, 0.0000, 0.0000) [2 per cell]
Re (0.0055, 0.5000, 0.5004) [2 per cell]
Re (0.2521, 0.5000, 0.2530) [2 per cell]
Os (0.2484, 0.0000, 0.7810) [2 per cell]